7
Lattice="4.600 0.000 0.000 0.000 4.600 0.000 -2.300 -2.300 7.250" Properties=species:S:1:pos:R:3 comment="Ho4Pd2O, relaxed, DFT PBE-GGA" spacegroup="No. 139" raw_formation_energy_ev_per_fu=-9.1 dos_ef_per_ev_atom=1.02 pbc="T T T"
O 0.000 0.000 0.000
Ho 2.300 2.300 4.596
Ho 0.000 0.000 2.655
Ho 0.000 2.300 0.000
Ho 2.300 0.000 0.000
Pd 2.300 2.300 1.871
Pd 0.000 0.000 5.379

14
Lattice="5.586 0.000 0.000 0.000 5.073 -2.347 0.000 -0.021 6.610" Properties=species:S:1:pos:R:3 comment="Ho2PdO4, relaxed, DFT PBE-GGA" spacegroup="No. 64" raw_formation_energy_ev_per_fu=-18.8 e_above_lowest_polymorph_mev_per_atom=0.0 dos_ef_per_ev_atom=0.05 pbc="T T T"
Ho 0.000 3.341 0.565
Ho 0.000 1.711 3.698
Ho 2.793 4.247 2.524
Ho 2.793 0.804 1.738
Pd 0.000 0.000 0.000
Pd 2.793 2.536 -1.174
O 4.615 3.418 -1.582
O 4.189 2.575 2.109
O 4.189 0.038 3.282
O 3.764 0.882 -0.408
O 1.822 4.191 -1.939
O 1.396 5.013 0.980
O 1.396 2.477 2.154
O 0.971 1.655 -0.766